1.
Entry from Alexandria via LeMat-Bulk: GeAuO2F after structural relaxation (PBE-GGA).

Computed properties:
Formation energy without anion corrections = -0.086 eV/atom

Cell: 4.1319 4.1319 4.2901 Å, 90.00 90.00 90.00°
Closest atoms and distances in Å follow each position.
Atoms (fractional coordinates):
Ge  0.0000  0.0000  0.0000  4 F 2.92, 8 O 2.98
Au  0.5000  0.5000  0.5000  4 O 2.07, 2 F 2.15
O  0.0000  0.5000  0.5000  2 Au 2.07
O  0.5000  0.0000  0.5000  2 Au 2.07
F  0.5000  0.5000  0.0000  2 Au 2.15


2.
Entry from Alexandria via LeMat-Bulk: Pm3GaHg after structural relaxation (PBE-GGA).

Computed properties:
Calculated formation energy = -0.279 eV per atom
Offset from the most stable computed form = 9.4 kJ per mole of atoms

Cell: 6.1995 6.1995 15.9565 Å, 98.48 98.48 72.61°
Closest atoms and distances in Å follow each position.
Atoms (fractional coordinates):
Pm  0.0723  0.5246  0.3719  1 Ga 3.05, 2 Hg 3.28, 1 Pm 3.38
Pm  0.1129  0.6747  0.8322  2 Hg 3.10-3.14, 3 Ga 3.13-3.24, 1 Pm 3.47
Pm  0.2634  0.4884  0.0474  1 Ga 3.10, 2 Hg 3.25-3.27, 2 Pm 3.36-3.38
Pm  0.3253  0.8871  0.6678  2 Hg 3.10-3.14, 3 Ga 3.13-3.24, 1 Pm 3.47
Pm  0.4754  0.9277  0.1281  1 Ga 3.05, 2 Hg 3.28, 1 Pm 3.38
Pm  0.4884  0.2634  0.5474  1 Ga 3.10, 2 Hg 3.25-3.27, 2 Pm 3.36-3.38
Pm  0.5116  0.7366  0.4526  1 Ga 3.10, 2 Hg 3.25-3.27, 2 Pm 3.36-3.38
Pm  0.5246  0.0723  0.8719  1 Ga 3.05, 2 Hg 3.28, 1 Pm 3.38
Pm  0.6747  0.1129  0.3322  2 Hg 3.10-3.14, 3 Ga 3.13-3.24, 1 Pm 3.47
Pm  0.7366  0.5116  0.9526  1 Ga 3.10, 2 Hg 3.25-3.27, 2 Pm 3.36-3.38
Pm  0.8871  0.3253  0.1678  2 Hg 3.10-3.14, 3 Ga 3.13-3.24, 1 Pm 3.47
Pm  0.9277  0.4754  0.6281  1 Ga 3.05, 2 Hg 3.28, 1 Pm 3.38
Ga  0.0167  0.2008  0.8122  1 Ga 2.66, 1 Hg 2.89
Ga  0.2008  0.0167  0.3122  1 Ga 2.66, 1 Hg 2.89
Ga  0.7992  0.9833  0.6878  1 Ga 2.66, 1 Hg 2.89
Ga  0.9833  0.7992  0.1878  1 Ga 2.66, 1 Hg 2.89
Hg  0.0000  0.0000  0.0000  6 Pm 3.14-3.28, 2 Ga 3.44
Hg  0.0000  0.0000  0.5000  6 Pm 3.14-3.28, 2 Ga 3.44
Hg  0.4407  0.5593  0.2500  2 Ga 2.89, 2 Pm 3.10
Hg  0.5593  0.4407  0.7500  2 Ga 2.89, 2 Pm 3.10


3.
Entry from Alexandria via LeMat-Bulk: YSc5Cd4 after structural relaxation (PBE-GGA).

Computed properties:
Calculated formation energy = -0.214 eV per atom

Cell: 3.4965 3.4965 19.2369 Å, 90.00 90.00 90.00°
Closest atoms and distances in Å follow each position.
Atoms (fractional coordinates):
Y  0.0000  0.0000  0.0000  8 Sc 3.42, 4 Y 3.50
Sc  0.5000  0.5000  0.1226  4 Cd 3.08, 4 Y 3.42
Sc  0.5000  0.5000  0.3127  8 Cd 3.05-3.07
Sc  0.5000  0.5000  0.5000  8 Cd 3.07
Sc  0.5000  0.5000  0.6873  8 Cd 3.05-3.07
Sc  0.5000  0.5000  0.8774  4 Cd 3.08, 4 Y 3.42
Cd  0.0000  0.0000  0.2178  8 Sc 3.07-3.08
Cd  0.0000  0.0000  0.4056  8 Sc 3.05-3.07
Cd  0.0000  0.0000  0.5944  8 Sc 3.05-3.07
Cd  0.0000  0.0000  0.7822  8 Sc 3.07-3.08


4.
Entry from Alexandria via LeMat-Bulk: Ac3Ti2S2N4 after structural relaxation (PBE-GGA).

Computed properties:
Formation energy without anion corrections = -1.589 eV/atom

Cell: 11.6861 11.6861 11.6861 Å, 159.44 159.44 29.24°
Closest atoms and distances in Å follow each position.
Atoms (fractional coordinates):
Ac  0.0000  0.0000  0.0000  8 N 2.77
Ac  0.1602  0.1602  0.0000  4 N 2.75, 4 S 3.06
Ac  0.8398  0.8398  0.0000  4 N 2.75, 4 S 3.06
Ti  0.4138  0.4138  0.0000  4 N 2.09
Ti  0.5862  0.5862  0.0000  4 N 2.09
S  0.3032  0.3032  0.0000  1 Ti 2.50
S  0.6968  0.6968  0.0000  1 Ti 2.50
N  0.0809  0.5809  0.5000  2 Ti 2.09
N  0.4191  0.9191  0.5000  2 Ti 2.09
N  0.5809  0.0809  0.5000  2 Ti 2.09
N  0.9191  0.4191  0.5000  2 Ti 2.09


5.
Entry from Alexandria via LeMat-Bulk: Er2Si2GeIr5 after structural relaxation (PBE-GGA).

Computed properties:
Formation energy without anion corrections = -0.808 eV/atom

Cell: 9.5817 9.5817 3.5537 Å, 90.00 90.00 90.00°
Closest atoms and distances in Å follow each position.
Atoms (fractional coordinates):
Er  0.1751  0.3249  0.0000  3 Si 2.72-2.91, 2 Ir 2.96
Er  0.3249  0.8249  0.0000  3 Si 2.72-2.91, 2 Ir 2.96
Er  0.6751  0.1751  0.0000  3 Si 2.72-2.91, 2 Ir 2.96
Er  0.8249  0.6751  0.0000  3 Si 2.72-2.91, 2 Ir 2.96
Si  0.1238  0.6238  0.0000  6 Ir 2.44-2.45, 1 Er 2.72
Si  0.3762  0.1238  0.0000  6 Ir 2.44-2.45, 1 Er 2.72
Si  0.6238  0.8762  0.0000  6 Ir 2.44-2.45, 1 Er 2.72
Si  0.8762  0.3762  0.0000  6 Ir 2.44-2.45, 1 Er 2.72
Ge  0.0000  0.0000  0.0000  8 Ir 2.76
Ge  0.5000  0.5000  0.0000  8 Ir 2.76
Ir  0.0000  0.5000  0.5000  4 Si 2.44
Ir  0.0679  0.7901  0.5000  2 Si 2.45
Ir  0.2099  0.0679  0.5000  2 Si 2.45
Ir  0.2901  0.5679  0.5000  2 Si 2.45
Ir  0.4321  0.2901  0.5000  2 Si 2.45
Ir  0.5000  0.0000  0.5000  4 Si 2.44
Ir  0.5679  0.7099  0.5000  2 Si 2.45
Ir  0.7099  0.4321  0.5000  2 Si 2.45
Ir  0.7901  0.9321  0.5000  2 Si 2.45
Ir  0.9321  0.2099  0.5000  2 Si 2.45


6.
Entry from Alexandria via LeMat-Bulk: LiCaCrCl6 after structural relaxation (PBE-GGA).

Computed properties:
Formation energy without anion corrections = -1.642 eV/atom

Cell: 6.5122 6.5122 5.8942 Å, 90.00 90.00 120.00°
Closest atoms and distances in Å follow each position.
Atoms (fractional coordinates):
Li  0.0000  0.0000  0.0000  6 Cl 2.75
Ca  0.3333  0.6667  0.5000  6 Cl 2.72
Cr  0.6667  0.3333  0.5000  6 Cl 2.38
Cl  0.3668  0.0403  0.7363  1 Cr 2.38
Cl  0.3668  0.3265  0.2637  1 Cr 2.38
Cl  0.6735  0.0403  0.2637  1 Cr 2.38
Cl  0.6735  0.6332  0.7363  1 Cr 2.38
Cl  0.9597  0.3265  0.7363  1 Cr 2.38
Cl  0.9597  0.6332  0.2637  1 Cr 2.38


7.
Entry from Alexandria via LeMat-Bulk: Sc12Cd3Ag after structural relaxation (PBE-GGA).

Computed properties:
Calculated formation energy = -0.100 eV per atom

Cell: 4.5060 4.5060 17.8953 Å, 90.00 90.00 90.00°
Closest atoms and distances in Å follow each position.
Atoms (fractional coordinates):
Sc  0.0000  0.0000  0.0000  8 Sc 3.12, 4 Ag 3.19
Sc  0.0000  0.0000  0.2469  4 Cd 3.19, 8 Sc 3.19-3.20
Sc  0.0000  0.0000  0.5000  4 Cd 3.19, 8 Sc 3.19
Sc  0.0000  0.0000  0.7531  4 Cd 3.19, 8 Sc 3.19-3.20
Sc  0.0000  0.5000  0.1204  8 Sc 3.12-3.19, 2 Ag 3.12, 2 Cd 3.21
Sc  0.0000  0.5000  0.3736  4 Cd 3.18-3.19, 8 Sc 3.19-3.20
Sc  0.0000  0.5000  0.6264  4 Cd 3.18-3.19, 8 Sc 3.19-3.20
Sc  0.0000  0.5000  0.8796  8 Sc 3.12-3.19, 2 Ag 3.12, 2 Cd 3.21
Sc  0.5000  0.0000  0.1204  8 Sc 3.12-3.19, 2 Ag 3.12, 2 Cd 3.21
Sc  0.5000  0.0000  0.3736  4 Cd 3.18-3.19, 8 Sc 3.19-3.20
Sc  0.5000  0.0000  0.6264  4 Cd 3.18-3.19, 8 Sc 3.19-3.20
Sc  0.5000  0.0000  0.8796  8 Sc 3.12-3.19, 2 Ag 3.12, 2 Cd 3.21
Cd  0.5000  0.5000  0.2478  12 Sc 3.18-3.21
Cd  0.5000  0.5000  0.5000  12 Sc 3.19
Cd  0.5000  0.5000  0.7522  12 Sc 3.18-3.21
Ag  0.5000  0.5000  0.0000  12 Sc 3.12-3.19


8.
Entry from Alexandria via LeMat-Bulk: HfNiTeI2 after structural relaxation (PBE-GGA).

Computed properties:
Formation energy without anion corrections = 0.459 eV/atom
Offset from the most stable computed form = 3.8 kJ per mole of atoms

Cell: 5.0375 5.0375 5.2289 Å, 90.00 90.00 90.00°
Closest atoms and distances in Å follow each position.
Atoms (fractional coordinates):
Hf  0.0000  0.0000  0.0000  4 Te 3.56, 8 I 3.63
Ni  0.5000  0.5000  0.5000  4 I 2.52, 2 Te 2.61
Te  0.5000  0.5000  0.0000  2 Ni 2.61
I  0.0000  0.5000  0.5000  2 Ni 2.52
I  0.5000  0.0000  0.5000  2 Ni 2.52


9.
Entry from Alexandria via LeMat-Bulk: Cs2TlCrS4 after structural relaxation (PBE-GGA).

Computed properties:
Formation energy without anion corrections = -0.765 eV/atom

Cell: 14.0178 12.8230 7.5708 Å, 82.53 65.09 32.38°
Closest atoms and distances in Å follow each position.
Atoms (fractional coordinates):
Cs  0.0551  0.0551  0.6949  4 S 3.66-3.77
Cs  0.3051  0.3051  0.9449  4 S 3.66-3.77
Cs  0.6949  0.6949  0.0551  4 S 3.66-3.77
Cs  0.9449  0.9449  0.3051  4 S 3.66-3.77
Tl  0.1250  0.1250  0.1250  4 S 2.84
Tl  0.8750  0.8750  0.8750  4 S 2.84
Cr  0.3750  0.3750  0.3750  4 S 2.14
Cr  0.6250  0.6250  0.6250  4 S 2.14
S  0.0536  0.5979  0.5158  1 Cr 2.14
S  0.3327  0.5158  0.5979  1 Cr 2.14
S  0.4021  0.9464  0.6673  1 Cr 2.14
S  0.4842  0.6673  0.9464  1 Cr 2.14
S  0.5158  0.3327  0.0536  1 Cr 2.14
S  0.5979  0.0536  0.3327  1 Cr 2.14
S  0.6673  0.4842  0.4021  1 Cr 2.14
S  0.9464  0.4021  0.4842  1 Cr 2.14


10.
Entry from Alexandria via LeMat-Bulk: PaPdAu2 after structural relaxation (PBE-GGA).

Computed properties:
Calculated formation energy = -0.461 eV per atom
Offset from the most stable computed form = 1.4 kJ per mole of atoms

Cell: 5.3717 5.3717 5.5871 Å, 90.00 90.00 90.00°
Closest atoms and distances in Å follow each position.
Atoms (fractional coordinates):
Pa  0.0000  0.0000  0.0000  2 Pd 2.79, 8 Au 3.03
Pa  0.5000  0.5000  0.5000  2 Pd 2.79, 8 Au 3.03
Pd  0.0000  0.0000  0.5000  2 Pa 2.79, 8 Au 3.03
Pd  0.5000  0.5000  0.0000  2 Pa 2.79, 8 Au 3.03
Au  0.0000  0.5000  0.2500  2 Au 2.79, 4 Pa 3.03, 4 Pd 3.03
Au  0.0000  0.5000  0.7500  2 Au 2.79, 4 Pa 3.03, 4 Pd 3.03
Au  0.5000  0.0000  0.2500  2 Au 2.79, 4 Pa 3.03, 4 Pd 3.03
Au  0.5000  0.0000  0.7500  2 Au 2.79, 4 Pa 3.03, 4 Pd 3.03


11.
Entry from Alexandria via LeMat-Bulk: Zr2TaRu after structural relaxation (PBE-GGA).

Computed properties:
Calculated formation energy = -0.247 eV per atom
Offset from the most stable computed form = 0.0 kJ per mole of atoms

Cell: 3.2744 4.7779 9.6958 Å, 90.00 90.00 90.00°
Closest atoms and distances in Å follow each position.
Atoms (fractional coordinates):
Zr  0.0000  0.0000  0.0000  2 Ru 2.86, 4 Ta 2.92, 2 Zr 3.07
Zr  0.0000  0.5000  0.2317  4 Ru 2.90, 2 Ta 3.06, 2 Zr 3.07
Zr  0.5000  0.0000  0.7317  4 Ru 2.90, 2 Ta 3.06, 2 Zr 3.07
Zr  0.5000  0.5000  0.5000  2 Ru 2.86, 4 Ta 2.92, 2 Zr 3.07
Ta  0.0000  0.0000  0.4657  2 Ru 2.72, 4 Zr 2.92
Ta  0.5000  0.5000  0.9657  2 Ru 2.72, 4 Zr 2.92
Ru  0.0000  0.5000  0.7415  2 Ta 2.72, 6 Zr 2.86-2.90
Ru  0.5000  0.0000  0.2415  2 Ta 2.72, 6 Zr 2.86-2.90


12.
Entry from Alexandria via LeMat-Bulk: CrNi2HRu after structural relaxation (PBE-GGA).

Computed properties:
Offset from the most stable computed form = 0.0 kJ per mole of atoms

Cell: 3.6270 3.6270 3.8408 Å, 90.00 90.00 90.00°
Closest atoms and distances in Å follow each position.
Atoms (fractional coordinates):
Cr  0.0000  0.0000  0.0000  4 Ru 2.56, 8 Ni 2.64
Ni  0.0000  0.5000  0.5000  2 H 1.81
Ni  0.5000  0.0000  0.5000  2 H 1.81
H  0.5000  0.5000  0.5000  4 Ni 1.81, 2 Ru 1.92
Ru  0.5000  0.5000  0.0000  2 H 1.92


What did the twelfth record say?
Entry from Alexandria via LeMat-Bulk: CrNi2HRu after structural relaxation (PBE-GGA).

Computed properties:
Offset from the most stable computed form = 0.0 kJ per mole of atoms

Cell: 3.6270 3.6270 3.8408 Å, 90.00 90.00 90.00°
Closest atoms and distances in Å follow each position.
Atoms (fractional coordinates):
Cr  0.0000  0.0000  0.0000  4 Ru 2.56, 8 Ni 2.64
Ni  0.0000  0.5000  0.5000  2 H 1.81
Ni  0.5000  0.0000  0.5000  2 H 1.81
H  0.5000  0.5000  0.5000  4 Ni 1.81, 2 Ru 1.92
Ru  0.5000  0.5000  0.0000  2 H 1.92